Entry 1:
Compound: LiNd2Sb3Pd4
Source: the Alexandria database
Functional: PBE
Structure: relaxed

Output
DOS(E_F) = 0.335 states/eV per atom
Raw formation energy = -0.854 eV/atom
Energy = -53.13 eV/cell
Total magnetic moment = 0.000 μB per cell

The structure in POSCAR format:
```
LiNd2Sb3Pd4
1.0
4.5117 0.0000 0.0000
0.0000 4.5117 0.0000
0.0000 0.0000 10.6510
Li Nd Sb Pd
1 2 3 4
Direct
0.0000 0.0000 0.0000
0.0000 0.5000 0.7397
0.5000 0.0000 0.2603
0.0000 0.5000 0.3615
0.5000 0.0000 0.6385
0.5000 0.5000 0.0000
0.0000 0.0000 0.5000
0.0000 0.5000 0.1208
0.5000 0.0000 0.8792
0.5000 0.5000 0.5000
```

Entry 2:
Compound: LiNdSiPd
Source: the Alexandria database
Functional: PBE
Structure: relaxed

Output
Raw formation energy = -0.608 eV/atom
Energy = -19.73 eV/cell
Total magnetic moment = 0.000 μB per cell

The structure in POSCAR format:
```
LiNdSiPd
1.0
0.0000 3.3073 3.3073
3.3073 0.0000 3.3073
3.3073 3.3073 0.0000
Li Nd Si Pd
1 1 1 1
Direct
0.0000 0.0000 0.0000
0.2500 0.2500 0.2500
0.7500 0.7500 0.7500
0.5000 0.5000 0.5000
```

Entry 3:
Compound: Li2NdSiPd2
Source: the Alexandria database
Functional: PBE
Structure: relaxed

Output
DOS(E_F) = 0.680 states/eV per atom
Raw formation energy = -0.393 eV/atom
Energy = -26.76 eV/cell
Total magnetic moment = 0.000 μB per cell

The structure in POSCAR format:
```
Li2NdSiPd2
1.0
4.6434 0.0000 0.0000
0.0000 4.6434 0.0000
0.0000 0.0000 5.7576
Li Nd Si Pd
2 1 1 2
Direct
0.0000 0.0000 0.2339
0.0000 0.0000 0.7661
0.5000 0.5000 0.5000
0.5000 0.5000 0.0000
0.0000 0.5000 0.0000
0.5000 0.0000 0.0000
```

Entry 4:
Compound: LiNdSi2Pd5
Source: the Alexandria database
Functional: PBE
Structure: relaxed

Output
DOS(E_F) = 0.497 states/eV per atom
Raw formation energy = -0.681 eV/atom
Energy = -49.62 eV/cell
Total magnetic moment = 0.000 μB per cell

The structure in POSCAR format:
```
LiNdSi2Pd5
1.0
4.1461 0.0000 0.0000
0.0000 4.1461 0.0000
0.0000 0.0000 9.0814
Li Nd Si Pd
1 1 2 5
Direct
0.0000 0.0000 0.0000
0.0000 0.0000 0.5000
0.5000 0.5000 0.1272
0.5000 0.5000 0.8728
0.0000 0.5000 0.2580
0.0000 0.5000 0.7420
0.5000 0.0000 0.2580
0.5000 0.0000 0.7420
0.5000 0.5000 0.5000
```